Record 1
# AcGaPIr6 | Alexandria | PBE | optimized geometry
# - Uncorrected energy: -7.23 eV/atom
# - Magnetization: 0.00 μB/cell
data_AcGaPIr6
_cell_length_a 6.120
_cell_length_b 9.360
_cell_length_c 11.608
_cell_angle_alpha 90.00
_cell_angle_beta 90.00
_cell_angle_gamma 90.00
_space_group_name_H-M_alt 'I m m a'
_space_group_IT_number 74
_space_group_name_Hall '-I 2b 2'
loop_
_atom_site_label
_atom_site_fract_x
_atom_site_fract_y
_atom_site_fract_z
Ac1 0.000 0.250 0.178
Ga1 0.250 0.250 0.750
P1 0.000 0.000 0.500
Ir1 0.000 0.250 0.437
Ir2 0.000 0.250 0.913
Ir3 0.234 0.020 0.869

---

Record 2
# LaP2Ru | Alexandria | PBE | optimized geometry
# - Uncorrected energy: -6.63 eV/atom
# - Magnetization: 0.00 μB/cell
# - E above lowest polymorph: 0.610 eV/atom
data_LaP2Ru
_cell_length_a 6.613
_cell_length_b 6.613
_cell_length_c 6.613
_cell_angle_alpha 90.00
_cell_angle_beta 90.00
_cell_angle_gamma 90.00
_space_group_name_H-M_alt 'F m -3 m'
_space_group_IT_number 225
_space_group_name_Hall '-F 4 2 3'
loop_
_atom_site_label
_atom_site_fract_x
_atom_site_fract_y
_atom_site_fract_z
La1 0.000 0.000 0.000
P1 0.250 0.250 0.250
Ru1 0.000 0.000 0.500